Entry 1:
This record from Alexandria via LeMat-Bulk describes Y2TiPt2 after structural relaxation. The functional is PBE.

```
data_Y2TiPt2
_symmetry_space_group_name_H-M 'P 4/m b m'
_symmetry_Int_Tables_number 127
_symmetry_space_group_name_Hall '-P 4 2ab'
_cell_length_a 6.896
_cell_length_b 6.896
_cell_length_c 4.541
_cell_angle_alpha 90.00
_cell_angle_beta 90.00
_cell_angle_gamma 90.00
loop_
_atom_site_label
_atom_site_type_symbol
_atom_site_fract_x
_atom_site_fract_y
_atom_site_fract_z
Y1 Y 0.171 0.329 0.000
Ti1 Ti 0.000 0.000 0.500
Pt1 Pt 0.142 0.642 0.500
```

Summary:
For the magnetization, the calculation gives 0.0 μB per formula unit. The energy comes out at -74.89 eV per cell. The volume comes out at 107.95 Å³/f.u.



Entry 2:
This record from Alexandria via LeMat-Bulk describes YTiPt2 after structural relaxation. The functional is PBE.

```
data_YTiPt2
_symmetry_space_group_name_H-M 'P 4/m m m'
_symmetry_Int_Tables_number 123
_symmetry_space_group_name_Hall '-P 4 2'
_cell_length_a 3.216
_cell_length_b 3.216
_cell_length_c 7.181
_cell_angle_alpha 90.00
_cell_angle_beta 90.00
_cell_angle_gamma 90.00
loop_
_atom_site_label
_atom_site_type_symbol
_atom_site_fract_x
_atom_site_fract_y
_atom_site_fract_z
Y1 Y 0.000 0.000 0.000
Ti1 Ti 0.000 0.000 0.500
Pt1 Pt 0.500 0.500 0.296
```

Summary:
For the magnetization, the calculation gives 0.0 μB per formula unit. The energy comes out at -30.42 eV per cell. The polymorph energy (0 for the lowest one) comes out at 0 kJ/mol of formula units. The volume comes out at 74.26 Å³/f.u.



Entry 3:
This record from Alexandria via LeMat-Bulk describes YTi3Pt after structural relaxation. The functional is PBE.

```
data_YTi3Pt
_symmetry_space_group_name_H-M 'P m -3 m'
_symmetry_Int_Tables_number 221
_symmetry_space_group_name_Hall '-P 4 2 3'
_cell_length_a 4.670
_cell_length_b 4.670
_cell_length_c 4.670
_cell_angle_alpha 90.00
_cell_angle_beta 90.00
_cell_angle_gamma 90.00
loop_
_atom_site_label
_atom_site_type_symbol
_atom_site_fract_x
_atom_site_fract_y
_atom_site_fract_z
Y1 Y 0.000 0.000 0.000
Ti1 Ti 0.000 0.000 0.500
Pt1 Pt 0.500 0.500 0.500
```

Summary:
For the magnetization, the calculation gives 0.9 μB per formula unit. The energy comes out at -29.01 eV per cell. The polymorph energy (0 for the lowest one) comes out at 633 kJ/mol of formula units. The volume comes out at 101.82 Å³/f.u.



Entry 4:
This record from Alexandria via LeMat-Bulk describes YTiPt2 after structural relaxation. The functional is PBE.

```
data_YTiPt2
_symmetry_space_group_name_H-M 'I -4 2 d'
_symmetry_Int_Tables_number 122
_symmetry_space_group_name_Hall 'I -4 2bw'
_cell_length_a 4.901
_cell_length_b 4.901
_cell_length_c 15.953
_cell_angle_alpha 90.00
_cell_angle_beta 90.00
_cell_angle_gamma 90.00
loop_
_atom_site_label
_atom_site_type_symbol
_atom_site_fract_x
_atom_site_fract_y
_atom_site_fract_z
Y1 Y 0.000 0.000 0.000
Ti1 Ti 0.000 0.000 0.500
Pt1 Pt 0.141 0.250 0.625
```

Summary:
For the magnetization, the calculation gives 0.0 μB per formula unit. The energy comes out at -111.49 eV per cell. The polymorph energy (0 for the lowest one) comes out at 246 kJ/mol of formula units. The volume comes out at 95.78 Å³/f.u.



Entry 5:
This record from Alexandria via LeMat-Bulk describes YTiPt6 after structural relaxation. The functional is PBE.

```
data_YTiPt6
_symmetry_space_group_name_H-M 'P 4/m m m'
_symmetry_Int_Tables_number 123
_symmetry_space_group_name_Hall '-P 4 2'
_cell_length_a 4.038
_cell_length_b 4.038
_cell_length_c 8.082
_cell_angle_alpha 90.00
_cell_angle_beta 90.00
_cell_angle_gamma 90.00
loop_
_atom_site_label
_atom_site_type_symbol
_atom_site_fract_x
_atom_site_fract_y
_atom_site_fract_z
Y1 Y 0.000 0.000 0.000
Ti1 Ti 0.000 0.000 0.500
Pt1 Pt 0.000 0.500 0.266
Pt2 Pt 0.500 0.500 0.000
Pt3 Pt 0.500 0.500 0.500
```

Summary:
For the magnetization, the calculation gives 0.0 μB per formula unit. The energy comes out at -58.20 eV per cell. The volume comes out at 131.80 Å³/f.u.



Entry 6:
This record from Alexandria via LeMat-Bulk describes Y2TiZn2Pt5 after structural relaxation. The functional is PBE.

```
data_Y2TiZn2Pt5
_symmetry_space_group_name_H-M 'P 4/m b m'
_symmetry_Int_Tables_number 127
_symmetry_space_group_name_Hall '-P 4 2ab'
_cell_length_a 9.700
_cell_length_b 9.700
_cell_length_c 3.747
_cell_angle_alpha 90.00
_cell_angle_beta 90.00
_cell_angle_gamma 90.00
loop_
_atom_site_label
_atom_site_type_symbol
_atom_site_fract_x
_atom_site_fract_y
_atom_site_fract_z
Y1 Y 0.174 0.326 0.000
Ti1 Ti 0.000 0.000 0.000
Zn1 Zn 0.124 0.624 0.000
Pt1 Pt 0.000 0.500 0.500
Pt2 Pt 0.062 0.800 0.500
```

Summary:
For the magnetization, the calculation gives 0.0 μB per formula unit. The energy comes out at -125.42 eV per cell. The volume comes out at 176.26 Å³/f.u.



Entry 7:
This record from Alexandria via LeMat-Bulk describes Ti8Zn3Pt2 after structural relaxation. The functional is PBE.

```
data_Ti8Zn3Pt2
_symmetry_space_group_name_H-M 'C m m m'
_symmetry_Int_Tables_number 65
_symmetry_space_group_name_Hall '-C 2 2'
_cell_length_a 8.611
_cell_length_b 12.362
_cell_length_c 4.350
_cell_angle_alpha 90.00
_cell_angle_beta 90.00
_cell_angle_gamma 90.00
loop_
_atom_site_label
_atom_site_type_symbol
_atom_site_fract_x
_atom_site_fract_y
_atom_site_fract_z
Ti1 Ti 0.000 0.116 0.000
Ti2 Ti 0.000 0.360 0.000
Ti3 Ti 0.236 0.126 0.500
Zn1 Zn 0.000 0.500 0.500
Zn2 Zn 0.236 0.500 0.000
Pt1 Pt 0.000 0.252 0.500
```

Summary:
For the magnetization, the calculation gives 0.0 μB per formula unit. The energy comes out at -162.22 eV per cell. The volume comes out at 231.53 Å³/f.u.



Entry 8:
This record from Alexandria via LeMat-Bulk describes Ti2Zn4Pt after structural relaxation. The functional is PBE.

```
data_Ti2Zn4Pt
_symmetry_space_group_name_H-M 'I 4/m m m'
_symmetry_Int_Tables_number 139
_symmetry_space_group_name_Hall '-I 4 2'
_cell_length_a 6.369
_cell_length_b 6.369
_cell_length_c 5.464
_cell_angle_alpha 90.00
_cell_angle_beta 90.00
_cell_angle_gamma 90.00
loop_
_atom_site_label
_atom_site_type_symbol
_atom_site_fract_x
_atom_site_fract_y
_atom_site_fract_z
Ti1 Ti 0.000 0.500 0.250
Zn1 Zn 0.198 0.198 0.000
Pt1 Pt 0.000 0.000 0.500
```

Summary:
For the magnetization, the calculation gives 0.0 μB per formula unit. The energy comes out at -55.14 eV per cell. The polymorph energy (0 for the lowest one) comes out at 0 kJ/mol of formula units. The volume comes out at 110.80 Å³/f.u.



Entry 9:
This record from Alexandria via LeMat-Bulk describes Ti2Zn4Pt after structural relaxation. The functional is PBE.

```
data_Ti2Zn4Pt
_symmetry_space_group_name_H-M 'I 4/m c m'
_symmetry_Int_Tables_number 140
_symmetry_space_group_name_Hall '-I 4 2c'
_cell_length_a 5.510
_cell_length_b 5.510
_cell_length_c 15.542
_cell_angle_alpha 90.00
_cell_angle_beta 90.00
_cell_angle_gamma 90.00
loop_
_atom_site_label
_atom_site_type_symbol
_atom_site_fract_x
_atom_site_fract_y
_atom_site_fract_z
Ti1 Ti 0.163 0.337 0.000
Zn1 Zn 0.165 0.335 0.350
Pt1 Pt 0.000 0.000 0.250
```

Summary:
For the magnetization, the calculation gives 0.0 μB per formula unit. The energy comes out at -109.44 eV per cell. The polymorph energy (0 for the lowest one) comes out at 20 kJ/mol of formula units. The volume comes out at 117.98 Å³/f.u.



Entry 10:
This record from Alexandria via LeMat-Bulk describes Ti3ZnPt after structural relaxation. The functional is PBE.

```
data_Ti3ZnPt
_symmetry_space_group_name_H-M 'P m -3 m'
_symmetry_Int_Tables_number 221
_symmetry_space_group_name_Hall '-P 4 2 3'
_cell_length_a 4.799
_cell_length_b 4.799
_cell_length_c 4.799
_cell_angle_alpha 90.00
_cell_angle_beta 90.00
_cell_angle_gamma 90.00
loop_
_atom_site_label
_atom_site_type_symbol
_atom_site_fract_x
_atom_site_fract_y
_atom_site_fract_z
Ti1 Ti 0.000 0.000 0.500
Zn1 Zn 0.500 0.500 0.500
Pt1 Pt 0.000 0.000 0.000
```

Summary:
For the magnetization, the calculation gives 0.0 μB per formula unit. The energy comes out at -29.07 eV per cell. The polymorph energy (0 for the lowest one) comes out at 160 kJ/mol of formula units. The volume comes out at 110.53 Å³/f.u.



Entry 11:
This record from Alexandria via LeMat-Bulk describes TiZnPt2 after structural relaxation. The functional is PBE.

```
data_TiZnPt2
_symmetry_space_group_name_H-M 'C 1 m 1'
_symmetry_Int_Tables_number 8
_cell_length_a 5.042
_cell_length_b 2.926
_cell_length_c 8.607
_cell_angle_alpha 90.00
_cell_angle_beta 101.13
_cell_angle_gamma 90.00
loop_
_symmetry_equiv_pos_as_xyz
'x,y,z'
'x,-y,z'
'x+1/2,y+1/2,z'
'x+1/2,-y+1/2,z'
loop_
_atom_site_label
_atom_site_type_symbol
_atom_site_fract_x
_atom_site_fract_y
_atom_site_fract_z
Ti1 Ti 0.000 0.000 0.000
Zn1 Zn 0.166 0.000 0.500
Pt1 Pt 0.083 0.500 0.752
Pt2 Pt 0.416 0.000 0.248
```

Summary:
For the magnetization, the calculation gives 0.0 μB per formula unit. The energy comes out at -46.93 eV per cell. The volume comes out at 62.30 Å³/f.u.



Entry 12:
This record from Alexandria via LeMat-Bulk describes Ti5Zn4Pt after structural relaxation. The functional is PBE.

```
data_Ti5Zn4Pt
_symmetry_space_group_name_H-M 'P 4/m m m'
_symmetry_Int_Tables_number 123
_symmetry_space_group_name_Hall '-P 4 2'
_cell_length_a 3.206
_cell_length_b 3.206
_cell_length_c 15.210
_cell_angle_alpha 90.00
_cell_angle_beta 90.00
_cell_angle_gamma 90.00
loop_
_atom_site_label
_atom_site_type_symbol
_atom_site_fract_x
_atom_site_fract_y
_atom_site_fract_z
Ti1 Ti 0.000 0.000 0.000
Ti2 Ti 0.000 0.000 0.200
Ti3 Ti 0.000 0.000 0.400
Zn1 Zn 0.500 0.500 0.099
Zn2 Zn 0.500 0.500 0.299
Pt1 Pt 0.500 0.500 0.500
```

Summary:
For the magnetization, the calculation gives 0.0 μB per formula unit. The energy comes out at -53.78 eV per cell. The volume comes out at 156.33 Å³/f.u.